Here is LiScGe2O6 after structural relaxation from the Alexandria database. Energies are from PBEsol.

Total energy (eV for the cell shown): -290.5
Total moment (μB per atom): 0.000

a b c (Å): 9.703 9.088 5.442
angles (deg): 90.00 102.92 90.00
Space group P2_1/c (No. 14)
Symmetry-distinct sites (fractional):
Li 0.245 0.005 0.464 x4
Sc 0.248 0.647 0.465 x4
Ge 0.055 0.164 0.813 x4
Ge 0.451 0.161 0.250 x4
O 0.111 0.187 0.147 x4
O 0.132 0.668 0.751 x4
O 0.133 0.005 0.736 x4
O 0.364 0.670 0.182 x4
O 0.379 0.210 0.512 x4
O 0.381 0.513 0.689 x4